{
  "formula": "Ho6RuPb3",
  "functional": "PBE",
  "state": "optimized geometry",
  "magnetic_moment_mub_per_fu": 0.000,
  "spacegroup": "P2_1/c, No. 14",
  "formation_energy_mev_per_atom": -356,
  "dos_at_fermi_per_ev_atom": 0.94,
  "lattice": [[6.141, 0.000, 0.127], [0.000, 8.734, 0.000], [0.177, 0.000, 10.792]],
  "species": ["Ho", "Ho", "Ho", "Ho", "Ho", "Ho", "Ho", "Ho", "Ho", "Ho", "Ho", "Ho", "Ru", "Ru", "Pb", "Pb", "Pb", "Pb", "Pb", "Pb"],
  "fractional_positions": [[0.621, 0.154, 0.942], [0.599, 0.205, 0.564], [0.636, 0.450, 0.269], [0.364, 0.550, 0.731], [0.401, 0.795, 0.436], [0.379, 0.846, 0.058], [0.121, 0.346, 0.442], [0.099, 0.295, 0.064], [0.136, 0.050, 0.769], [0.864, 0.950, 0.231], [0.901, 0.705, 0.936], [0.879, 0.654, 0.558], [0.500, 0.500, 0.500], [0.000, 0.000, 0.000], [0.600, 0.887, 0.735], [0.500, 0.500, 0.000], [0.400, 0.113, 0.265], [0.100, 0.613, 0.235], [0.000, 0.000, 0.500], [0.900, 0.387, 0.765]]
}